The following is a GGA-PBE calculation of an optimized crystal structure of CeAlIr, from Alexandria via LeMat-Bulk.

The structure in CIF format:
```
data_CeAlIr
_cell_length_a 3.066
_cell_length_b 3.066
_cell_length_c 6.362
_cell_angle_alpha 103.94
_cell_angle_beta 103.94
_cell_angle_gamma 90.00
_symmetry_space_group_name_H-M 'P 1'
_symmetry_Int_Tables_number 1
loop_
_symmetry_equiv_pos_as_xyz
'x,y,z'
loop_
_atom_site_label
_atom_site_type_symbol
_atom_site_fract_x
_atom_site_fract_y
_atom_site_fract_z
Ir1 Ir 0.688 0.688 0.375
Ce1 Ce 0.010 0.010 0.019
Al1 Al 0.303 0.303 0.605
```

The energy of formation comes out at -0.665 eV/atom. As for the space group: No. 107.